Entry 1:
Y3AlN | the Alexandria database | PBE | relaxed; space group = Pnma; E_form (uncorrected) = -0.645 eV/atom
1.0
5.388 0.000 0.000
0.000 13.370 0.000
0.000 0.000 6.943
Al Y N
4 12 4
direct
0.000 0.500 0.500
0.500 0.500 0.000
0.500 0.000 0.000
0.000 0.000 0.500
0.996 0.116 0.091
0.996 0.384 0.091
0.496 0.116 0.409
0.004 0.616 0.909
0.984 0.250 0.591
0.496 0.384 0.409
0.484 0.250 0.909
0.504 0.616 0.591
0.016 0.750 0.409
0.516 0.750 0.091
0.504 0.884 0.591
0.004 0.884 0.909
0.964 0.750 0.093
0.464 0.750 0.407
0.036 0.250 0.907
0.536 0.250 0.593


Entry 2:
Ac2Nd4Sm | the Alexandria database | PBE | relaxed; calculated formation energy = 77 meV/atom; space group = P1; energy above the most stable polymorph in this dataset = 0.000 eV/atom
1.0
9.179 1.019 -0.955
-3.830 5.547 -1.366
1.411 1.764 9.059
Nd Ac Sm
8 4 2
direct
0.956 0.778 0.063
0.441 0.955 0.726
0.022 0.233 0.282
0.200 0.877 0.396
0.794 0.962 0.564
0.384 0.191 0.104
0.016 0.552 0.689
0.237 0.600 0.024
0.611 0.560 0.819
0.589 0.810 0.221
0.715 0.404 0.391
0.141 0.142 0.773
0.356 0.489 0.491
0.788 0.198 0.957


Entry 3:
BOsN3 | the Alexandria database | PBE | relaxed; space group = Pm-3m; E_form (uncorrected) = 1.678 eV/atom
1.0
3.366 0.000 0.000
0.000 3.366 0.000
0.000 0.000 3.366
N B Os
3 1 1
direct
0.000 0.000 0.500
0.000 0.500 0.000
0.500 0.000 0.000
0.000 0.000 0.000
0.500 0.500 0.500


Entry 4:
LiPa2OsN6 | the Alexandria database | PBE | relaxed; space group = P4mm; E_form (uncorrected) = -0.484 eV/atom
1.0
-0.453 -2.423 4.335
0.279 -4.559 -2.519
5.187 0.014 0.550
Os Li N Pa
1 1 6 2
direct
0.583 0.000 0.000
0.558 0.500 0.500
0.220 0.000 0.000
0.739 0.760 0.240
0.143 0.500 0.500
0.739 0.760 0.760
0.739 0.240 0.760
0.739 0.240 0.240
0.994 0.500 0.000
0.994 0.000 0.500


Entry 5:
BeSn3Pb | the Alexandria database | PBE | relaxed; calculated formation energy = 1302 meV/atom; space group = Pm-3m; energy above the most stable polymorph in this dataset = 1.013 eV/atom
1.0
-3.179 0.145 -4.876
3.978 -3.290 -2.692
-2.823 -4.801 1.697
Sn Be Pb
3 1 1
direct
0.000 0.000 0.500
0.500 0.000 0.000
0.000 0.500 0.000
0.500 0.500 0.500
0.000 0.000 0.000


Entry 6:
Y2BePt | the Alexandria database | PBE | relaxed; calculated formation energy = -313 meV/atom; space group = Pmm2
1.0
3.917 0.000 0.000
0.000 4.181 0.000
0.000 0.000 5.758
Be Y Pt
1 2 1
direct
0.000 0.000 0.409
0.000 0.000 0.907
0.500 0.500 0.340
0.500 0.500 0.844